Computed, not measured: Cr3FeF after structural relaxation at the PBE with a Hubbard U level of DFT.

Lattice parameters (Å, degrees): 4.135 4.135 4.135 90.00 90.00 90.00
Fractional coordinates of all 5 atoms:
Cr 0.000 0.000 0.500
Cr 0.000 0.500 0.000
Cr 0.500 0.000 0.000
Fe 0.500 0.500 0.500
F 0.000 0.000 0.000

V ... 14.14 Å³ per atom
Final energy ... -4.09 eV/atom